Below is Na3Ho2MnO6 after structural relaxation, with properties calculated at the GGA+U level.

abc: 5.677 9.974 5.837
angles: 90.00 108.25 90.00
Space group C2/m (No. 12)
Symmetry-distinct sites (fractional):
1 Na 0.000 0.000 0.000
2 Na 0.000 0.339 0.000
3 Ho 0.000 0.170 0.500
4 Mn 0.000 0.500 0.500
5 O 0.234 0.337 0.717
6 O 0.234 0.500 0.308

Summary:
VASP energy = -6.583 eV/atom
magnetization = 8.000 μB/cell